Computed, not measured: crystalline GdPaSb at its relaxed geometry at the PBE-GGA level of DFT.

Results
Formation energy without anion corrections ... 0.0835 eV per atom
Energy relative to the lowest polymorph listed for this composition ... 352 meV/atom

a = 3.204 Å, b = 5.247 Å, c = 5.247 Å
α = 120.00°, β = 90.00°, γ = 90.00°
Each line ends with the local moment (μB).
Sites, in units of the cell vectors:
Gd 0.832 0.667 0.333  7.01
Pa 0.835 0.000 0.000  -0.57
Sb 0.334 0.333 0.667  -0.01